{"formula": "BiAs3Rh", "functional": "PBE", "state": "relaxed", "lattice_angstrom": [[4.877, 0.000, 0.000], [0.000, 4.877, 0.000], [0.000, 0.000, 4.877]], "species": ["Bi", "As", "As", "As", "Rh"], "frac_coords": [[0.000, 0.000, 0.000], [0.000, 0.500, 0.500], [0.500, 0.000, 0.500], [0.500, 0.500, 0.000], [0.500, 0.500, 0.500]], "polymorph_energy_mev_per_atom": 0.0, "magnetic_moment_mub_per_atom": 0.000}